(1)
# PBE-GGA Na3Tl2Cd2Hg4, relaxed
data_Na3Tl2Cd2Hg4
_symmetry_space_group_name_H-M 'P -3 m 1'
_symmetry_Int_Tables_number 164
_symmetry_space_group_name_Hall '-P 3 2"'
_cell_length_a 5.1828
_cell_length_b 5.1828
_cell_length_c 13.0231
_cell_angle_alpha 90.00
_cell_angle_beta 90.00
_cell_angle_gamma 120.00
loop_
_atom_site_label
_atom_site_fract_x
_atom_site_fract_y
_atom_site_fract_z
Na1 0.0000 0.0000 0.0000
Na2 0.0000 0.0000 0.2604
Tl1 0.3333 0.6667 0.6025
Cd1 0.3333 0.6667 0.1214
Hg1 0.3333 0.6667 0.3601
Hg2 0.3333 0.6667 0.8745
# Formation energy from the elements = -131.0 meV/atom
# Crystal system = trigonal

---

(2)
# PBE-GGA Sr2ErUSe6, relaxed
data_Sr2ErUSe6
_symmetry_space_group_name_H-M 'P 1 21/c 1'
_symmetry_Int_Tables_number 14
_symmetry_space_group_name_Hall '-P 2ybc'
_cell_length_a 7.1900
_cell_length_b 7.7656
_cell_length_c 12.7414
_cell_angle_alpha 90.00
_cell_angle_beta 124.14
_cell_angle_gamma 90.00
loop_
_atom_site_label
_atom_site_fract_x
_atom_site_fract_y
_atom_site_fract_z
Sr1 0.2169 0.0888 0.2486
Er1 0.0000 0.0000 0.5000
U1 0.5000 0.0000 0.0000
Se1 0.1311 0.1894 0.9415
Se2 0.2584 0.6961 0.9395
Se3 0.3693 0.0317 0.7530
# Formation energy (no corrections) = -16.670 eV/f.u.
# Crystal system = monoclinic

---

(3)
# PBE-GGA BaLiGe, relaxed
data_BaLiGe
_symmetry_space_group_name_H-M 'P -1'
_symmetry_Int_Tables_number 2
_symmetry_space_group_name_Hall '-P 1'
_cell_length_a 4.9227
_cell_length_b 4.9282
_cell_length_c 7.0108
_cell_angle_alpha 93.63
_cell_angle_beta 94.11
_cell_angle_gamma 99.94
loop_
_atom_site_label
_atom_site_fract_x
_atom_site_fract_y
_atom_site_fract_z
Ba1 0.2349 0.2368 0.3352
Li1 0.2199 0.7832 0.0009
Ge1 0.3098 0.3128 0.8448
# Formation energy from the elements = -382.5 meV/atom
# Crystal system = triclinic

---

(4)
# PBE-GGA CrGaPd, relaxed
data_CrGaPd
_symmetry_space_group_name_H-M 'P -6 m 2'
_symmetry_Int_Tables_number 187
_symmetry_space_group_name_Hall 'P -6 2'
_cell_length_a 2.7727
_cell_length_b 2.7727
_cell_length_c 12.5678
_cell_angle_alpha 90.00
_cell_angle_beta 90.00
_cell_angle_gamma 120.00
loop_
_atom_site_label
_atom_site_fract_x
_atom_site_fract_y
_atom_site_fract_z
Cr1 0.0000 0.0000 0.1672
Ga1 0.3333 0.6667 0.3308
Pd1 0.0000 0.0000 0.5000
Pd2 0.3333 0.6667 0.0000
# Formation energy from the elements = -33.0 meV/atom
# Crystal system = hexagonal

---

(5)
# PBE-GGA KBeIr3, relaxed
data_KBeIr3
_symmetry_space_group_name_H-M 'P m -3 m'
_symmetry_Int_Tables_number 221
_symmetry_space_group_name_Hall '-P 4 2 3'
_cell_length_a 4.3372
_cell_length_b 4.3372
_cell_length_c 4.3372
_cell_angle_alpha 90.00
_cell_angle_beta 90.00
_cell_angle_gamma 90.00
loop_
_atom_site_label
_atom_site_fract_x
_atom_site_fract_y
_atom_site_fract_z
K1 0.0000 0.0000 0.0000
Be1 0.5000 0.5000 0.5000
Ir1 0.0000 0.5000 0.5000
# Formation energy from the elements = 794.0 meV/atom
# Crystal system = cubic
# Energy above the most stable polymorph in this dataset = 0.000 eV per atom

---

(6)
# PBE-GGA K3LaSb, relaxed
data_K3LaSb
_symmetry_space_group_name_H-M 'P m -3 m'
_symmetry_Int_Tables_number 221
_symmetry_space_group_name_Hall '-P 4 2 3'
_cell_length_a 6.6670
_cell_length_b 6.6670
_cell_length_c 6.6670
_cell_angle_alpha 90.00
_cell_angle_beta 90.00
_cell_angle_gamma 90.00
loop_
_atom_site_label
_atom_site_fract_x
_atom_site_fract_y
_atom_site_fract_z
K1 0.0000 0.0000 0.5000
La1 0.5000 0.5000 0.5000
Sb1 0.0000 0.0000 0.0000
# Formation energy (no corrections) = 1.933 eV/f.u.
# Crystal system = cubic
# Energy above the most stable polymorph in this dataset = 0.000 eV per atom

---

(7)
# PBE-GGA Ac2NiIr2, relaxed
data_Ac2NiIr2
_symmetry_space_group_name_H-M 'I m m m'
_symmetry_Int_Tables_number 71
_symmetry_space_group_name_Hall '-I 2 2'
_cell_length_a 4.3491
_cell_length_b 5.8295
_cell_length_c 9.0732
_cell_angle_alpha 90.00
_cell_angle_beta 90.00
_cell_angle_gamma 90.00
loop_
_atom_site_label
_atom_site_fract_x
_atom_site_fract_y
_atom_site_fract_z
Ac1 0.0000 0.0000 0.1943
Ni1 0.0000 0.5000 0.0000
Ir1 0.0000 0.2390 0.5000
# Formation energy from the elements = -475.5 meV/atom
# Crystal system = orthorhombic
# Energy above the most stable polymorph in this dataset = 0.006 eV per atom

---

(8)
# PBE-GGA Ta4V2Os, relaxed
data_Ta4V2Os
_symmetry_space_group_name_H-M 'I 4/m m m'
_symmetry_Int_Tables_number 139
_symmetry_space_group_name_Hall '-I 4 2'
_cell_length_a 4.8137
_cell_length_b 4.8137
_cell_length_c 12.6411
_cell_angle_alpha 90.00
_cell_angle_beta 90.00
_cell_angle_gamma 90.00
loop_
_atom_site_label
_atom_site_fract_x
_atom_site_fract_y
_atom_site_fract_z
Ta1 0.0000 0.0000 0.1991
Ta2 0.0000 0.5000 0.0000
V1 0.0000 0.0000 0.3932
Os1 0.0000 0.0000 0.0000
# Formation energy from the elements = 1293.2 meV/atom
# Crystal system = tetragonal

---

(9)
# PBE-GGA Cs2ScPdCl6, relaxed
data_Cs2ScPdCl6
_symmetry_space_group_name_H-M 'I 4/m m m'
_symmetry_Int_Tables_number 139
_symmetry_space_group_name_Hall '-I 4 2'
_cell_length_a 7.5679
_cell_length_b 7.5679
_cell_length_c 10.0682
_cell_angle_alpha 90.00
_cell_angle_beta 90.00
_cell_angle_gamma 90.00
loop_
_atom_site_label
_atom_site_fract_x
_atom_site_fract_y
_atom_site_fract_z
Cs1 0.0000 0.5000 0.2500
Sc1 0.0000 0.0000 0.0000
Pd1 0.0000 0.0000 0.5000
Cl1 0.0000 0.0000 0.2528
Cl2 0.2340 0.2340 0.0000
# Formation energy (no corrections) = -16.588 eV/f.u.
# Crystal system = tetragonal

---

(10)
# PBE-GGA CuNi5Ge3, relaxed
data_CuNi5Ge3
_symmetry_space_group_name_H-M 'P 63/m c m'
_symmetry_Int_Tables_number 193
_symmetry_space_group_name_Hall '-P 6c 2'
_cell_length_a 7.0375
_cell_length_b 7.0375
_cell_length_c 5.0749
_cell_angle_alpha 90.00
_cell_angle_beta 90.00
_cell_angle_gamma 120.00
loop_
_atom_site_label
_atom_site_fract_x
_atom_site_fract_y
_atom_site_fract_z
Cu1 0.0000 0.0000 0.0000
Ni1 0.0000 0.3102 0.2500
Ni2 0.3333 0.6667 0.0000
Ge1 0.0000 0.3578 0.7500
# Formation energy from the elements = -244.7 meV/atom
# Crystal system = hexagonal

---

(11)
# PBE-GGA Si2AgPd2, relaxed
data_Si2AgPd2
_symmetry_space_group_name_H-M 'P 4/m b m'
_symmetry_Int_Tables_number 127
_symmetry_space_group_name_Hall '-P 4 2ab'
_cell_length_a 7.2969
_cell_length_b 7.2969
_cell_length_c 2.9126
_cell_angle_alpha 90.00
_cell_angle_beta 90.00
_cell_angle_gamma 90.00
loop_
_atom_site_label
_atom_site_fract_x
_atom_site_fract_y
_atom_site_fract_z
Si1 0.1574 0.3426 0.0000
Ag1 0.0000 0.0000 0.5000
Pd1 0.1387 0.6387 0.5000
# Formation energy (no corrections) = -1.048 eV/f.u.
# Crystal system = tetragonal
# Energy above the most stable polymorph in this dataset = 0.084 eV per atom

---

(12)
# PBE-GGA RbCoBr2Cl, relaxed
data_RbCoBr2Cl
_symmetry_space_group_name_H-M 'P 4/m m m'
_symmetry_Int_Tables_number 123
_symmetry_space_group_name_Hall '-P 4 2'
_cell_length_a 5.3294
_cell_length_b 5.3294
_cell_length_c 4.7731
_cell_angle_alpha 90.00
_cell_angle_beta 90.00
_cell_angle_gamma 90.00
loop_
_atom_site_label
_atom_site_fract_x
_atom_site_fract_y
_atom_site_fract_z
Rb1 0.0000 0.0000 0.0000
Co1 0.5000 0.5000 0.5000
Br1 0.0000 0.5000 0.5000
Cl1 0.5000 0.5000 0.0000
# Formation energy (no corrections) = -4.269 eV/f.u.
# Crystal system = tetragonal

---

(13)
# PBE-GGA YInTc2, relaxed
data_YInTc2
_symmetry_space_group_name_H-M 'P 4/m m m'
_symmetry_Int_Tables_number 123
_symmetry_space_group_name_Hall '-P 4 2'
_cell_length_a 3.5586
_cell_length_b 3.5586
_cell_length_c 6.2651
_cell_angle_alpha 90.00
_cell_angle_beta 90.00
_cell_angle_gamma 90.00
loop_
_atom_site_label
_atom_site_fract_x
_atom_site_fract_y
_atom_site_fract_z
Y1 0.0000 0.0000 0.0000
In1 0.0000 0.0000 0.5000
Tc1 0.5000 0.5000 0.3013
# Formation energy from the elements = 207.0 meV/atom
# Crystal system = tetragonal

---

(14)
# PBE-GGA Ba2Bi2I, relaxed
data_Ba2Bi2I
_symmetry_space_group_name_H-M 'I 4/m m m'
_symmetry_Int_Tables_number 139
_symmetry_space_group_name_Hall '-I 4 2'
_cell_length_a 6.6961
_cell_length_b 6.6961
_cell_length_c 10.6678
_cell_angle_alpha 90.00
_cell_angle_beta 90.00
_cell_angle_gamma 90.00
loop_
_atom_site_label
_atom_site_fract_x
_atom_site_fract_y
_atom_site_fract_z
Ba1 0.0000 0.5000 0.2500
Bi1 0.0000 0.0000 0.1375
I1 0.0000 0.0000 0.5000
# Formation energy (no corrections) = -3.990 eV/f.u.
# Crystal system = tetragonal
# Energy above the most stable polymorph in this dataset = 0.231 eV per atom

---

(15)
# PBE-GGA BaIn2SnAu, relaxed
data_BaIn2SnAu
_symmetry_space_group_name_H-M 'I m m 2'
_symmetry_Int_Tables_number 44
_symmetry_space_group_name_Hall 'I 2 -2'
_cell_length_a 4.8956
_cell_length_b 4.9287
_cell_length_c 11.9892
_cell_angle_alpha 90.00
_cell_angle_beta 90.00
_cell_angle_gamma 90.00
loop_
_atom_site_label
_atom_site_fract_x
_atom_site_fract_y
_atom_site_fract_z
Ba1 0.0000 0.0000 0.0000
In1 0.0000 0.0000 0.6045
In2 0.0000 0.5000 0.2578
Sn1 0.0000 0.5000 0.7555
Au1 0.0000 0.0000 0.3761
# Formation energy from the elements = -502.2 meV/atom
# Crystal system = orthorhombic

---

(16)
# PBE-GGA AgHg2Pt, relaxed
data_AgHg2Pt
_symmetry_space_group_name_H-M 'P 1 2/m 1'
_symmetry_Int_Tables_number 10
_symmetry_space_group_name_Hall '-P 2y'
_cell_length_a 2.9818
_cell_length_b 4.1727
_cell_length_c 6.1164
_cell_angle_alpha 90.00
_cell_angle_beta 90.18
_cell_angle_gamma 90.00
loop_
_atom_site_label
_atom_site_fract_x
_atom_site_fract_y
_atom_site_fract_z
Ag1 0.0000 0.0000 0.0000
Hg1 0.4967 0.5000 0.7447
Pt1 0.0000 0.0000 0.5000
# Formation energy from the elements = 79.0 meV/atom
# Crystal system = monoclinic
# Energy above the most stable polymorph in this dataset = 0.016 eV per atom

---

(17)
# PBE-GGA AcFeN6, relaxed
data_AcFeN6
_symmetry_space_group_name_H-M 'R -3'
_symmetry_Int_Tables_number 148
_symmetry_space_group_name_Hall '-R 3'
_cell_length_a 6.6158
_cell_length_b 6.6158
_cell_length_c 7.4850
_cell_angle_alpha 90.00
_cell_angle_beta 90.00
_cell_angle_gamma 120.00
loop_
_atom_site_label
_atom_site_fract_x
_atom_site_fract_y
_atom_site_fract_z
Ac1 0.0000 0.0000 0.0000
Fe1 0.0000 0.0000 0.5000
N1 0.0642 0.2621 0.3532
# Formation energy (no corrections) = -1.006 eV/f.u.
# Crystal system = trigonal

---

(18)
# PBE-GGA Tb6Pm12Pr, relaxed
data_Tb6Pm12Pr
_symmetry_space_group_name_H-M 'R -3'
_symmetry_Int_Tables_number 148
_symmetry_space_group_name_Hall '-R 3'
_cell_length_a 12.1579
_cell_length_b 12.1579
_cell_length_c 15.2948
_cell_angle_alpha 90.00
_cell_angle_beta 90.00
_cell_angle_gamma 120.00
loop_
_atom_site_label
_atom_site_fract_x
_atom_site_fract_y
_atom_site_fract_z
Tb1 0.0125 0.4253 0.1848
Pm1 0.0066 0.8310 0.6919
Pm2 0.0459 0.8503 0.9168
Pr1 0.0000 0.0000 0.5000
# Formation energy from the elements = 135.9 meV/atom
# Crystal system = trigonal
# Energy above the most stable polymorph in this dataset = 0.000 eV per atom

---

(19)
# PBE-GGA Ce2AlTc, relaxed
data_Ce2AlTc
_symmetry_space_group_name_H-M 'R -3 m'
_symmetry_Int_Tables_number 166
_symmetry_space_group_name_Hall '-R 3 2"'
_cell_length_a 3.0628
_cell_length_b 3.0628
_cell_length_c 32.6967
_cell_angle_alpha 90.00
_cell_angle_beta 90.00
_cell_angle_gamma 120.00
loop_
_atom_site_label
_atom_site_fract_x
_atom_site_fract_y
_atom_site_fract_z
Ce1 0.0000 0.0000 0.0966
Al1 0.0000 0.0000 0.0000
Tc1 0.0000 0.0000 0.5000
# Formation energy from the elements = 288.1 meV/atom
# Crystal system = trigonal

---

(20)
# PBE-GGA MoOs, relaxed
data_MoOs
_symmetry_space_group_name_H-M 'A m m 2'
_symmetry_Int_Tables_number 38
_symmetry_space_group_name_Hall 'A 2 -2'
_cell_length_a 2.8595
_cell_length_b 13.4894
_cell_length_c 4.7162
_cell_angle_alpha 90.00
_cell_angle_beta 90.00
_cell_angle_gamma 90.00
loop_
_atom_site_label
_atom_site_fract_x
_atom_site_fract_y
_atom_site_fract_z
Mo1 0.0000 0.0000 0.0000
Mo2 0.0000 0.1573 0.3490
Os1 0.5000 0.0000 0.5110
Os2 0.5000 0.1733 0.8604
# Formation energy from the elements = 80.3 meV/atom
# Crystal system = orthorhombic

---

(21)
# PBE-GGA BeCr3Rh, relaxed
data_BeCr3Rh
_symmetry_space_group_name_H-M 'P m -3 m'
_symmetry_Int_Tables_number 221
_symmetry_space_group_name_Hall '-P 4 2 3'
_cell_length_a 4.6778
_cell_length_b 4.6778
_cell_length_c 4.6778
_cell_angle_alpha 90.00
_cell_angle_beta 90.00
_cell_angle_gamma 90.00
loop_
_atom_site_label
_atom_site_fract_x
_atom_site_fract_y
_atom_site_fract_z
Be1 0.0000 0.0000 0.0000
Cr1 0.0000 0.5000 0.5000
Rh1 0.5000 0.5000 0.5000
# Formation energy from the elements = 1569.7 meV/atom
# Crystal system = cubic
# Energy above the most stable polymorph in this dataset = 0.854 eV per atom

---

(22)
# PBE-GGA Tm6Tl2Co, relaxed
data_Tm6Tl2Co
_symmetry_space_group_name_H-M 'I m m m'
_symmetry_Int_Tables_number 71
_symmetry_space_group_name_Hall '-I 2 2'
_cell_length_a 5.0036
_cell_length_b 7.1282
_cell_length_c 14.5236
_cell_angle_alpha 90.00
_cell_angle_beta 90.00
_cell_angle_gamma 90.00
loop_
_atom_site_label
_atom_site_fract_x
_atom_site_fract_y
_atom_site_fract_z
Tm1 0.0000 0.2200 0.0000
Tm2 0.0000 0.2638 0.3484
Tl1 0.0000 0.5000 0.1666
Co1 0.0000 0.5000 0.5000
# Formation energy from the elements = -60.0 meV/atom
# Crystal system = orthorhombic

---

(23)
# PBE-GGA Ba2MgPt2, relaxed
data_Ba2MgPt2
_symmetry_space_group_name_H-M 'P 4/m b m'
_symmetry_Int_Tables_number 127
_symmetry_space_group_name_Hall '-P 4 2ab'
_cell_length_a 8.1026
_cell_length_b 8.1026
_cell_length_c 4.4304
_cell_angle_alpha 90.00
_cell_angle_beta 90.00
_cell_angle_gamma 90.00
loop_
_atom_site_label
_atom_site_fract_x
_atom_site_fract_y
_atom_site_fract_z
Ba1 0.1576 0.3424 0.0000
Mg1 0.0000 0.0000 0.5000
Pt1 0.1505 0.6505 0.5000
# Formation energy from the elements = -588.2 meV/atom
# Crystal system = tetragonal

---

(24)
# PBE-GGA Y2ZrW, relaxed
data_Y2ZrW
_symmetry_space_group_name_H-M 'P 4/m m m'
_symmetry_Int_Tables_number 123
_symmetry_space_group_name_Hall '-P 4 2'
_cell_length_a 4.3400
_cell_length_b 4.3400
_cell_length_c 5.0159
_cell_angle_alpha 90.00
_cell_angle_beta 90.00
_cell_angle_gamma 90.00
loop_
_atom_site_label
_atom_site_fract_x
_atom_site_fract_y
_atom_site_fract_z
Y1 0.0000 0.5000 0.0000
Zr1 0.0000 0.0000 0.5000
W1 0.5000 0.5000 0.5000
# Formation energy from the elements = 472.5 meV/atom
# Crystal system = tetragonal
# Energy above the most stable polymorph in this dataset = 0.243 eV per atom